Ta6Pb4O19 after structural relaxation, computed with PBE.

## Properties
**Calculated total energy**: -8.63 eV per atom
**Formation energy from raw total energies**: -2.416 eV/atom

Unit cell a=13.0654 b=7.5136 c=18.4384 alpha=90.00 beta=90.47 gamma=90.00
Space group C2/m (No. 12)
Unique sites:
1 Ta 0.0000 0.0000 0.0000 (multiplicity 2)
2 Ta 0.0000 0.5000 0.5000 (multiplicity 2)
3 Ta 0.0844 0.2496 0.1692 (multiplicity 8)
4 Ta 0.1649 0.5000 0.3364 (multiplicity 4)
5 Ta 0.1661 0.0000 0.8282 (multiplicity 4)
6 Ta 0.2500 0.2500 0.5000 (multiplicity 4)
7 Pb 0.0000 0.0000 0.5000 (multiplicity 2)
8 Pb 0.0000 0.5000 0.0000 (multiplicity 2)
9 Pb 0.1528 0.5000 0.8226 (multiplicity 4)
10 Pb 0.1865 0.0000 0.3252 (multiplicity 4)
11 Pb 0.2500 0.2500 0.0000 (multiplicity 4)
12 O 0.0378 0.5000 0.1513 (multiplicity 4)
13 O 0.0453 0.5000 0.3975 (multiplicity 4)
14 O 0.0631 0.1913 0.8155 (multiplicity 8)
15 O 0.0636 0.1905 0.0628 (multiplicity 8)
16 O 0.1029 0.3053 0.5186 (multiplicity 8)
17 O 0.1104 0.2996 0.2729 (multiplicity 8)
18 O 0.1259 0.0000 0.1916 (multiplicity 4)
19 O 0.1265 0.0000 0.9396 (multiplicity 4)
20 O 0.1635 0.5000 0.9380 (multiplicity 4)
21 O 0.2038 0.0000 0.4753 (multiplicity 4)
22 O 0.2127 0.0000 0.7313 (multiplicity 4)
23 O 0.2271 0.3137 0.1447 (multiplicity 8)
24 O 0.2294 0.3098 0.3962 (multiplicity 8)


TaPb3O6 after structural relaxation, computed with PBE.

## Properties
**N(E_F)**: 13.77 states/eV per cell
**Calculated total energy**: -6.89 eV per atom
**Formation energy from raw total energies**: -1.619 eV/atom

Unit cell a=9.7829 b=12.3739 c=5.9547 alpha=90.00 beta=90.00 gamma=90.00
Space group Cmc2_1 (No. 36)
Unique sites:
1 Ta 0.0000 0.2051 0.0000 (multiplicity 4)
2 Pb 0.0000 0.4116 0.5219 (multiplicity 4)
3 Pb 0.2031 0.1009 0.5157 (multiplicity 8)
4 O 0.0000 0.0568 0.9617 (multiplicity 4)
5 O 0.0000 0.2414 0.3076 (multiplicity 4)
6 O 0.1460 0.4911 0.2715 (multiplicity 8)
7 O 0.1536 0.2613 0.8517 (multiplicity 8)


TaPb3O after structural relaxation, computed with PBE.

## Properties
**N(E_F)**: 15.13 states/eV per cell
**Calculated total energy**: -4.68 eV per atom
**Formation energy from raw total energies**: 0.910 eV/atom

Unit cell a=5.4774 b=5.4774 c=5.4774 alpha=90.00 beta=90.00 gamma=90.00
Space group Pm-3m (No. 221)
Unique sites:
1 Ta 0.0000 0.0000 0.0000 (multiplicity 1)
2 Pb 0.0000 0.0000 0.5000 (multiplicity 3)
3 O 0.5000 0.5000 0.5000 (multiplicity 1)


Ta6Pb4O19 after structural relaxation, computed with PBE.

## Properties
**N(E_F)**: 0.00 states/eV per cell
**Calculated total energy**: -8.65 eV per atom
**Formation energy from raw total energies**: -2.441 eV/atom

Unit cell a=7.5155 b=22.5733 c=10.6473 alpha=90.00 beta=90.00 gamma=90.00
Space group Imma (No. 74)
Unique sites:
1 Ta 0.0000 0.0000 0.0000 (multiplicity 4)
2 Ta 0.0000 0.1652 0.0023 (multiplicity 8)
3 Ta 0.2500 0.0816 0.7500 (multiplicity 8)
4 Ta 0.2500 0.2500 0.2500 (multiplicity 4)
5 Pb 0.0000 0.0000 0.5000 (multiplicity 4)
6 Pb 0.0000 0.1661 0.4822 (multiplicity 8)
7 Pb 0.2500 0.2500 0.7500 (multiplicity 4)
8 O 0.0000 0.0802 0.6849 (multiplicity 8)
9 O 0.0000 0.0836 0.0550 (multiplicity 8)
10 O 0.0000 0.2500 0.3149 (multiplicity 4)
11 O 0.0000 0.2500 0.5916 (multiplicity 4)
12 O 0.0000 0.2500 0.9304 (multiplicity 4)
13 O 0.1911 0.1464 0.8734 (multiplicity 16)
14 O 0.1906 0.1888 0.1224 (multiplicity 16)
15 O 0.1952 0.0210 0.8791 (multiplicity 16)


TaPbO2 after structural relaxation, computed with PBE.

## Properties
**N(E_F)**: 6.55 states/eV per cell
**Calculated total energy**: -7.93 eV per atom
**Formation energy from raw total energies**: -1.560 eV/atom

Unit cell a=3.0815 b=3.0815 c=23.7394 alpha=90.00 beta=90.00 gamma=120.00
Space group R-3m (No. 166, hexagonal axes)
Unique sites:
1 Ta 0.0000 0.0000 0.0000 (multiplicity 3)
2 Pb 0.0000 0.0000 0.5000 (multiplicity 3)
3 O 0.0000 0.0000 0.3823 (multiplicity 6)


TaPbO4 after structural relaxation, computed with PBE.

## Properties
**N(E_F)**: 10.82 states/eV per cell
**Calculated total energy**: -7.87 eV per atom
**Formation energy from raw total energies**: -1.974 eV/atom

Unit cell a=12.2360 b=5.1221 c=5.7354 alpha=90.00 beta=97.90 gamma=90.00
Space group C2/c (No. 15)
Unique sites:
1 Ta 0.2500 0.2500 0.0000 (multiplicity 4)
2 Pb 0.0000 0.2145 0.2500 (multiplicity 4)
3 O 0.0973 0.1097 0.9474 (multiplicity 8)
4 O 0.2037 0.4683 0.2561 (multiplicity 8)